Below is a crystal of AsAuSe2 relaxed with PBEsol, with properties calculated at the meta-GGA SCAN level.

Output
- M_tot (μB/f.u.) = 0.000
- electronic total energy (eV/atom) = -31.833
- space-group type = No. 47

```
AsAuSe2
1.0
2.768 0.000 0.000
0.000 5.077 0.000
0.000 0.000 5.428
As Au Se
1 1 2
Cartesian
0.000 0.000 0.000
1.384 0.000 2.714
0.000 2.539 2.714
1.384 2.539 0.000
```


Below is a crystal of BaZr2Mo relaxed with PBEsol, with properties calculated at the meta-GGA SCAN level.

Output
- E above lowest polymorph (meV/atom) = 271
- formation energy (meV per atom) = 951
- M_tot (μB/f.u.) = 0.000
- electronic total energy (eV/atom) = -33.007
- space-group type = No. 123

```
BaZr2Mo
1.0
5.018 0.000 0.000
0.000 5.018 0.000
0.000 0.000 3.476
Ba Zr Mo
1 2 1
Cartesian
0.000 0.000 0.000
0.000 2.509 1.738
2.509 0.000 1.738
2.509 2.509 0.000
```


Below is a crystal of LiHgPt2 relaxed with PBEsol, with properties calculated at the meta-GGA SCAN level.

Output
- formation energy (meV per atom) = -332
- M_tot (μB/f.u.) = 0.000
- electronic total energy (eV/atom) = -53.067
- space-group type = No. 139

```
LiHgPt2
1.0
-1.951 1.951 4.064
1.951 -1.951 4.064
1.951 1.951 -4.064
Li Hg Pt
1 1 2
Cartesian
0.000 0.000 0.000
0.000 0.000 4.064
1.951 0.000 2.032
0.000 1.951 2.032
```


Below is a crystal of Cs2BeI relaxed with PBEsol, with properties calculated at the meta-GGA SCAN level.

Output
- M_tot (μB/f.u.) = 0.998
- electronic total energy (eV/atom) = -29.287
- space-group type = No. 225

```
Cs2BeI
1.0
0.000 4.456 4.456
4.456 0.000 4.456
4.456 4.456 0.000
Cs Be I
2 1 1
Cartesian
2.228 2.228 2.228
6.684 6.684 6.684
0.000 0.000 0.000
4.456 4.456 4.456
```


Below is a crystal of Ta2AgRu relaxed with PBEsol, with properties calculated at the meta-GGA SCAN level.

Output
- E above lowest polymorph (meV/atom) = 0
- formation energy (meV per atom) = 37
- M_tot (μB/f.u.) = 0.000
- electronic total energy (eV/atom) = -49.803
- space-group type = No. 10

```
Ta2AgRu
1.0
2.892 0.000 0.000
0.000 3.983 0.000
-0.611 0.000 5.620
Ta Ag Ru
2 1 1
Cartesian
-0.022 0.000 1.507
2.303 0.000 4.113
1.446 1.991 0.000
1.140 1.991 2.810
```


Below is a crystal of Li5MnOF5 relaxed with PBEsol, with properties calculated at the meta-GGA SCAN level.

Output
- M_tot (μB/f.u.) = 5.000
- electronic total energy (eV/atom) = -7.394
- space-group type = No. 187

```
Li5MnOF5
1.0
3.391 0.000 0.000
-1.695 2.936 0.000
0.000 0.000 12.418
Li Mn O F
5 1 1 5
Cartesian
0.000 0.000 0.000
0.000 0.000 3.974
0.000 0.000 8.444
0.000 1.958 1.956
0.000 1.958 10.461
0.000 1.958 6.209
0.000 0.000 6.209
0.000 0.000 1.970
0.000 0.000 10.448
0.000 1.958 0.000
0.000 1.958 3.912
0.000 1.958 8.505
```


Below is a crystal of CrTcBr2 relaxed with PBEsol, with properties calculated at the meta-GGA SCAN level.

Output
- E above lowest polymorph (meV/atom) = 0
- M_tot (μB/f.u.) = 1.000
- electronic total energy (eV/atom) = -22.969
- space-group type = No. 6

```
CrTcBr2
1.0
3.930 0.000 0.000
0.000 3.364 0.000
-1.729 0.000 6.608
Cr Tc Br
1 1 2
Cartesian
0.000 0.000 0.000
2.538 1.682 0.225
-0.664 1.682 4.843
1.371 0.000 1.987
```


Below is a crystal of CuIr3 relaxed with PBEsol, with properties calculated at the meta-GGA SCAN level.

Output
- formation energy (meV per atom) = 117
- M_tot (μB/f.u.) = 0.002
- electronic total energy (eV/atom) = -57.007
- space-group type = No. 187

```
CuIr3
1.0
2.698 0.000 0.000
-1.349 2.337 0.000
0.000 0.000 8.628
Cu Ir
1 3
Cartesian
0.000 0.000 0.000
0.000 0.000 4.314
1.349 0.779 2.118
1.349 0.779 6.510
```


Below is a crystal of K2ZnSnRh relaxed with PBEsol, with properties calculated at the meta-GGA SCAN level.

Output
- formation energy (meV per atom) = 601
- M_tot (μB/f.u.) = 0.554
- electronic total energy (eV/atom) = -19.372
- space-group type = No. 123

```
K2ZnSnRh
1.0
5.709 0.000 0.000
0.000 5.709 0.000
0.000 0.000 4.742
K Zn Sn Rh
2 1 1 1
Cartesian
0.000 2.854 0.000
2.854 0.000 0.000
0.000 0.000 2.371
2.854 2.854 2.371
0.000 0.000 0.000
```


Below is a crystal of Cu2RuSe relaxed with PBEsol, with properties calculated at the meta-GGA SCAN level.

Output
- M_tot (μB/f.u.) = 0.000
- electronic total energy (eV/atom) = -20.956
- space-group type = No. 139

```
Cu2RuSe
1.0
-1.769 1.769 4.237
1.769 -1.769 4.237
1.769 1.769 -4.237
Cu Ru Se
2 1 1
Cartesian
1.769 0.000 2.119
0.000 1.769 2.119
0.000 0.000 0.000
0.000 0.000 4.237
```


Below is a crystal of La3TaB relaxed with PBEsol, with properties calculated at the meta-GGA SCAN level.

Output
- formation energy (meV per atom) = 1180
- M_tot (μB/f.u.) = 1.152
- electronic total energy (eV/atom) = -39.486
- space-group type = No. 221

```
La3TaB
1.0
5.429 0.000 0.000
0.000 5.429 0.000
0.000 0.000 5.429
La Ta B
3 1 1
Cartesian
0.000 0.000 2.715
0.000 2.715 0.000
2.715 0.000 0.000
0.000 0.000 0.000
2.715 2.715 2.715
```


Below is a crystal of YCoAs3 relaxed with PBEsol, with properties calculated at the meta-GGA SCAN level.

Output
- formation energy (meV per atom) = -175
- M_tot (μB/f.u.) = 1.559
- electronic total energy (eV/atom) = -21.319
- space-group type = No. 221

```
YCoAs3
1.0
4.592 0.000 0.000
0.000 4.592 0.000
0.000 0.000 4.592
Y Co As
1 1 3
Cartesian
0.000 0.000 0.000
2.296 2.296 2.296
0.000 2.296 2.296
2.296 0.000 2.296
2.296 2.296 0.000
```


Computed density (g/cm3) in order:
9.4; 7.9; 16.0; 3.8; 14.6; 2.7; 5.9; 19.5; 3.9; 9.6; 6.3; 6.4